1.
{"formula": "DyAlSn2Pd4", "functional": "PBE-GGA", "state": "relaxed", "rho_g_cm3": 9.5, "ef_ev_per_atom": -0.7305, "volume_a3_per_cell": 149.2, "e_tot_ev_per_cell": -43.0, "magmom_total_mub_per_fu": 0.000, "lattice_angstrom": [[-3.323, 3.064, -0.493], [-2.835, -0.271, -3.545], [-7.170, -3.901, 3.114]], "species": ["Sn", "Pd", "Pd", "Dy", "Pd", "Pd", "Al", "Sn"], "fractional_positions": [[0.750, 0.750, 0.750], [0.863, 0.863, 0.411], [0.137, 0.137, 0.589], [0.000, 0.000, 0.000], [0.601, 0.601, 0.196], [0.399, 0.399, 0.804], [0.500, 0.500, 0.500], [0.250, 0.250, 0.250]]}


2.
{"formula": "LiCd6Pd3", "functional": "PBE-GGA", "state": "relaxed", "rho_g_cm3": 9.0, "ef_ev_per_atom": -0.3057, "volume_a3_per_cell": 367.4, "e_tot_ev_per_cell": -52.1, "magmom_total_mub_per_fu": 0.000, "lattice_angstrom": [[4.793, 0.000, 0.000], [0.000, 7.485, -2.634], [0.000, -0.029, 10.251]], "species": ["Pd", "Pd", "Cd", "Cd", "Pd", "Cd", "Cd", "Li", "Cd", "Cd", "Cd", "Cd", "Pd", "Li", "Cd", "Pd", "Cd", "Cd", "Pd", "Cd"], "fractional_positions": [[0.250, 0.767, 0.973], [0.750, 0.233, 0.027], [0.750, 0.152, 0.710], [0.750, 0.841, 0.814], [0.250, 0.555, 0.385], [0.250, 0.255, 0.494], [0.250, 0.848, 0.290], [0.250, 0.955, 0.587], [0.750, 0.925, 0.115], [0.250, 0.471, 0.084], [0.250, 0.642, 0.678], [0.250, 0.075, 0.885], [0.750, 0.641, 0.216], [0.750, 0.045, 0.413], [0.750, 0.358, 0.322], [0.250, 0.359, 0.784], [0.750, 0.745, 0.506], [0.250, 0.159, 0.186], [0.750, 0.445, 0.615], [0.750, 0.529, 0.916]]}


3.
{"formula": "Cs3TeF", "functional": "PBE-GGA", "state": "relaxed", "raw_formation_energy_mev_per_atom": -1440, "rho_g_cm3": 3.7, "volume_a3_per_cell": 493.2, "e_tot_ev_per_cell": -29.6, "magmom_total_mub_per_fu": 0.000, "lattice_angstrom": [[-2.714, -5.228, -4.919], [6.512, 0.419, -4.039], [5.194, -8.517, 0.199]], "species": ["Cs", "F", "Te", "Cs", "Cs", "Te", "Cs", "Cs", "F", "Cs"], "fractional_positions": [[0.640, 0.891, 0.219], [0.000, 0.000, 0.000], [0.912, 0.412, 0.176], [0.638, 0.638, 0.725], [0.141, 0.891, 0.219], [0.588, 0.088, 0.824], [0.109, 0.360, 0.781], [0.109, 0.859, 0.781], [0.250, 0.750, 0.500], [0.362, 0.362, 0.275]]}


4.
{"formula": "V2FePt", "functional": "PBE-GGA", "state": "relaxed", "rho_g_cm3": 11.2, "ef_ev_per_atom": -0.3198, "volume_a3_per_cell": 52.2, "e_tot_ev_per_cell": -34.0, "magmom_total_mub_per_fu": 0.000, "lattice_angstrom": [[2.709, 0.000, 0.000], [0.000, 2.709, 0.000], [0.000, 0.000, 7.116]], "species": ["Fe", "V", "V", "Pt"], "fractional_positions": [[0.500, 0.500, 0.000], [0.000, 0.000, 0.779], [0.000, 0.000, 0.221], [0.500, 0.500, 0.500]]}